Entry from Alexandria: a geometry-optimized K3Sn9Au2 structure (PBE-GGA).

Cell and atoms, written as extended XYZ:
```
14
Lattice="-2.420 6.112 6.957 2.420 -6.112 6.957 2.420 6.112 -6.957" Properties=species:S:1:pos:R:3 pbc="T T T"
K 0.000 0.000 0.000
K 0.000 0.000 3.806
K 0.000 0.000 10.108
Sn 2.420 1.986 -1.619
Sn 2.420 -2.439 4.820
Sn 2.420 1.986 1.619
Sn 0.000 3.672 2.137
Sn 0.000 6.112 0.000
Sn 2.420 2.439 4.820
Sn 0.000 4.126 5.338
Sn 0.000 8.551 2.137
Sn 0.000 4.126 8.577
Au 2.420 4.498 0.000
Au 0.000 1.614 6.957
```

Theoretical density, g/cm³: 6.37
Energy of formation, eV per atom: -0.170
VASP energy, eV per cell: -48.25
D(E_F), states/eV/cell: 3.53